Computed, not measured: Ce2Zn16Os after structural relaxation at the PBE level of DFT.

For the formation energy, the calculation gives -3.43 eV per formula unit. The total magnetic moment comes out at 1.70 μB per cell.

The structure belongs to space group R3m (No. 160, hexagonal axes); the cell edges are 9.0623, 9.0623 and 13.0909 Å and the angles 90.00°, 90.00° and 120.00°. The asymmetric unit holds Ce at (0.0000, 0.0000, 0.0000), Ce at (0.0000, 0.0000, 0.3357), Zn at (0.0000, 0.0000, 0.5792), Zn at (0.0001, 0.2855, 0.6799), Zn at (0.0120, 0.5060, 0.8270), Zn at (0.1675, 0.3351, 0.5119), Zn at (0.1683, 0.3365, 0.8599) and Os at (0.0000, 0.0000, 0.7879).

Computed, not measured: Tm4Sb2AsSe after structural relaxation at the PBE level of DFT.

The uncorrected formation energy comes out at -1.3438 eV per atom. The total magnetic moment comes out at 0.00 μB per cell.

The structure belongs to space group P2/m (No. 10); the cell edges are 7.2460, 4.1856 and 7.2745 Å and the angles 90.00°, 109.30° and 90.00°. The asymmetric unit holds Tm at (0.2402, 0.0000, 0.2345), Tm at (0.2487, 0.5000, 0.7618), Sb at (0.0000, 0.0000, 0.5000), Sb at (0.5000, 0.5000, 0.5000), As at (0.0000, 0.5000, 0.0000) and Se at (0.5000, 0.0000, 0.0000).

Computed, not measured: YMg14Mo after structural relaxation at the PBE level of DFT.

For the formation energy, the calculation gives 1.84 eV per formula unit. The distance to the lowest polymorph of the same formula comes out at 2.25 kJ/mol of atoms. The total magnetic moment comes out at 1.84 μB per cell.

The structure belongs to space group P-6m2 (No. 187); the cell edges are 6.4171, 6.4171 and 10.1585 Å and the angles 90.00°, 90.00° and 120.00°. The asymmetric unit holds Y at (0.0000, 0.0000, 0.0000), Mg at (0.0134, 0.5067, 0.0000), Mg at (0.1621, 0.3241, 0.2665), Mg at (0.5034, 0.0067, 0.5000), Mg at (0.6667, 0.3333, 0.2364) and Mo at (0.0000, 0.0000, 0.5000).

Computed, not measured: Nd6TmTh after structural relaxation at the PBE level of DFT.

For the formation energy, the calculation gives 1.05 eV per formula unit. The distance to the lowest polymorph of the same formula comes out at 8.51 kJ/mol of atoms. The total magnetic moment comes out at 0.00 μB per cell.

The structure belongs to space group I4/mmm (No. 139); the cell edges are 6.0530, 6.0530 and 14.9481 Å and the angles 90.00°, 90.00° and 90.00°. The asymmetric unit holds Nd at (0.0000, 0.0000, 0.2422), Nd at (0.0000, 0.5000, 0.1204), Tm at (0.0000, 0.0000, 0.5000) and Th at (0.0000, 0.0000, 0.0000).

Computed, not measured: TaTe2Mo after structural relaxation at the PBE level of DFT.

The distance to the lowest polymorph of the same formula comes out at 94.25 kJ/mol of atoms. The uncorrected formation energy comes out at 0.7936 eV per atom. The total magnetic moment comes out at 0.00 μB per cell.

The structure belongs to space group F-43m (No. 216); the cell edges are 6.9306, 6.9306 and 6.9306 Å and the angles 90.00°, 90.00° and 90.00°. The asymmetric unit holds Ta at (0.0000, 0.0000, 0.0000), Te at (0.0000, 0.0000, 0.5000), Te at (0.2500, 0.2500, 0.7500) and Mo at (0.2500, 0.2500, 0.2500).

Computed, not measured: FeIr4Os2 after structural relaxation at the PBE level of DFT.

For the formation energy, the calculation gives 1.93 eV per formula unit. The total magnetic moment comes out at 9.49 μB per cell.

The structure belongs to space group C2/c (No. 15); the cell edges are 6.3857, 8.3791 and 8.5031 Å and the angles 90.00°, 112.05° and 90.00°. The asymmetric unit holds Fe at (0.0000, 0.1098, 0.2500), Ir at (0.1588, 0.1078, 0.9973), Ir at (0.2136, 0.3912, 0.2680) and Os at (0.0987, 0.3571, 0.5354).

Computed, not measured: La3Pr2DyHo6 after structural relaxation at the PBE level of DFT.

For the formation energy, the calculation gives 0.18 eV per formula unit. The total magnetic moment comes out at 0.00 μB per cell.

The structure belongs to space group C2/m (No. 12); the cell edges are 6.2736, 10.8668 and 11.8578 Å and the angles 90.00°, 100.14° and 90.00°. The asymmetric unit holds La at (0.0000, 0.0000, 0.0000), La at (0.0000, 0.3329, 0.0000), Pr at (0.0000, 0.1664, 0.5000), Dy at (0.0000, 0.5000, 0.5000), Ho at (0.2487, 0.3337, 0.7475) and Ho at (0.2500, 0.0000, 0.7478).

Computed, not measured: EuPuZnGa after structural relaxation at the PBE level of DFT.

For the formation energy, the calculation gives -0.84 eV per formula unit. The total magnetic moment comes out at 4.64 μB per cell.

The structure belongs to space group F-43m (No. 216); the cell edges are 7.3227, 7.3227 and 7.3227 Å and the angles 90.00°, 90.00° and 90.00°. The asymmetric unit holds Eu at (0.0000, 0.0000, 0.0000), Pu at (0.0000, 0.0000, 0.5000), Zn at (0.2500, 0.2500, 0.7500) and Ga at (0.2500, 0.2500, 0.2500).